1.
Density functional theory data (PBE-GGA) for a relaxed ScAs2Pt crystal.

Computed properties:
For the relative energy among the computed polymorphs, the calculation gives 74.5 meV/atom. As for the density of states at the Fermi level: 0.619 states/eV/atom. The formation energy comes out at -0.628 eV per atom. Its space group is P2/m (10).

abc: 4.0901 4.0109 4.8465
angles: 90.00 98.25 90.00
Atoms (fractional coordinates):
1 Sc 0.0000 0.0000 0.0000
2 As 0.3280 0.5000 0.7587
3 As 0.6720 0.5000 0.2413
4 Pt 0.5000 0.0000 0.5000

2.
Density functional theory data (PBE-GGA) for a relaxed HoLuBeOs crystal.

Computed properties:
As for the density of states at the Fermi level: 0.795 states/eV/atom. The formation energy comes out at -0.136 eV per atom. Its space group is F-43m (216).

abc: 4.7633 4.7633 4.7633
angles: 60.00 60.00 60.00
Atoms (fractional coordinates):
1 Ho 0.0000 0.0000 0.0000
2 Lu 0.5000 0.5000 0.5000
3 Be 0.7500 0.7500 0.7500
4 Os 0.2500 0.2500 0.2500

3.
Density functional theory data (PBE-GGA) for a relaxed H2Pt2Au crystal.

Computed properties:
For the relative energy among the computed polymorphs, the calculation gives 42.4 meV/atom. As for the density of states at the Fermi level: 0.096 states/eV/atom. Its space group is I4_1md (109).

abc: 5.6500 5.6500 5.6500
angles: 122.61 122.61 85.54
Atoms (fractional coordinates):
1 H 0.2783 0.0000 0.2783
2 H 0.7217 0.0000 0.7217
3 H 0.7500 0.5283 0.7783
4 H 0.7500 0.9717 0.2217
5 Pt 0.0286 0.7745 0.2542
6 Pt 0.5203 0.7745 0.7458
7 Pt 0.5245 0.2786 0.7542
8 Pt 0.5245 0.7703 0.2458
9 Au 0.2194 0.2194 0.0000
10 Au 0.9694 0.4694 0.5000

4.
Density functional theory data (PBE-GGA) for a relaxed Zr3TaV8 crystal.

Computed properties:
As for the density of states at the Fermi level: 1.877 states/eV/atom. The formation energy comes out at 0.018 eV per atom. Its space group is R3m (160).

abc: 9.0142 9.0142 9.0142
angles: 33.13 33.13 33.13
Atoms (fractional coordinates):
1 Zr 0.0000 0.0000 0.0000
2 Zr 0.1260 0.1260 0.1260
3 Zr 0.5026 0.5026 0.5026
4 Ta 0.6263 0.6263 0.6263
5 V 0.0571 0.5629 0.5629
6 V 0.0647 0.0647 0.5690
7 V 0.0647 0.5690 0.0647
8 V 0.3129 0.3129 0.3129
9 V 0.5629 0.0571 0.5629
10 V 0.5629 0.5629 0.0571
11 V 0.5690 0.0647 0.0647
12 V 0.8149 0.8149 0.8149

5.
Density functional theory data (PBE-GGA) for a relaxed CdMoSe2 crystal.

Computed properties:
For the relative energy among the computed polymorphs, the calculation gives 655.9 meV/atom. As for the density of states at the Fermi level: 0.453 states/eV/atom. Its formation energy from raw total energies is 1.42 eV/f.u. Its space group is I-4m2 (119).

abc: 7.3754 7.3754 7.3754
angles: 150.26 150.26 42.56
Atoms (fractional coordinates):
1 Cd 0.0000 0.0000 0.0000
2 Mo 0.2500 0.7500 0.5000
3 Se 0.5000 0.5000 0.0000
4 Se 0.7500 0.2500 0.5000

6.
Density functional theory data (PBE-GGA) for a relaxed BaCaY2Ru crystal.

Computed properties:
For the relative energy among the computed polymorphs, the calculation gives 116.5 meV/atom. As for the density of states at the Fermi level: 0.701 states/eV/atom. The formation energy comes out at 0.042 eV per atom. Its space group is P4/mmm (123).

abc: 5.4776 5.4776 5.9916
angles: 90.00 90.00 90.00
Atoms (fractional coordinates):
1 Ba 0.0000 0.0000 0.0000
2 Ca 0.5000 0.5000 0.0000
3 Y 0.0000 0.5000 0.5000
4 Y 0.5000 0.0000 0.5000
5 Ru 0.0000 0.0000 0.5000

7.
Density functional theory data (PBE-GGA) for a relaxed LaBiAu2S crystal.

Computed properties:
As for the density of states at the Fermi level: 0.894 states/eV/atom. Its formation energy from raw total energies is -0.46 eV/f.u. Its space group is P4/mmm (123).

abc: 5.3115 5.3115 5.3535
angles: 90.00 90.00 90.00
Atoms (fractional coordinates):
1 La 0.0000 0.0000 0.0000
2 Bi 0.5000 0.5000 0.5000
3 Au 0.0000 0.5000 0.5000
4 Au 0.5000 0.0000 0.5000
5 S 0.5000 0.5000 0.0000

8.
Density functional theory data (PBE-GGA) for a relaxed Li3PtC crystal.

Computed properties:
For the relative energy among the computed polymorphs, the calculation gives 0.0 meV/atom. As for the density of states at the Fermi level: 0.432 states/eV/atom. The formation energy comes out at 0.544 eV per atom. Its space group is Pm-3m (221).

abc: 3.9453 3.9453 3.9453
angles: 90.00 90.00 90.00
Atoms (fractional coordinates):
1 Li 0.0000 0.0000 0.5000
2 Li 0.0000 0.5000 0.0000
3 Li 0.5000 0.0000 0.0000
4 Pt 0.5000 0.5000 0.5000
5 C 0.0000 0.0000 0.0000

9.
Density functional theory data (PBE-GGA) for a relaxed Cs2BaThSe4 crystal.

Computed properties:
As for the density of states at the Fermi level: 0.000 states/eV/atom. Its formation energy from raw total energies is -13.49 eV/f.u. Its space group is P2/m (10).

abc: 8.0938 4.5693 8.7898
angles: 90.00 107.42 90.00
Atoms (fractional coordinates):
1 Cs 0.0000 0.0000 0.0000
2 Cs 0.5000 0.5000 0.0000
3 Ba 0.0000 0.5000 0.5000
4 Th 0.5000 0.0000 0.5000
5 Se 0.2680 0.0000 0.6954
6 Se 0.2962 0.5000 0.3105
7 Se 0.7038 0.5000 0.6895
8 Se 0.7320 0.0000 0.3046

10.
Density functional theory data (PBE-GGA) for a relaxed BeCl3 crystal.

Computed properties:
For the relative energy among the computed polymorphs, the calculation gives 1228.2 meV/atom. As for the density of states at the Fermi level: 1.589 states/eV/atom. Its formation energy from raw total energies is 1.74 eV/f.u. Its space group is Im-3m (229).

abc: 4.7452 4.7452 4.7452
angles: 109.47 109.47 109.47
Atoms (fractional coordinates):
1 Be 0.0000 0.0000 0.0000
2 Cl 0.0000 0.5000 0.5000
3 Cl 0.5000 0.0000 0.5000
4 Cl 0.5000 0.5000 0.0000

11.
Density functional theory data (PBE-GGA) for a relaxed U2I6Br crystal.

Computed properties:
As for the density of states at the Fermi level: 1.740 states/eV/atom. Its formation energy from raw total energies is -7.63 eV/f.u. Its space group is P1 (1).

abc: 8.0148 8.3738 8.4151
angles: 106.57 111.97 103.82
Atoms (fractional coordinates):
1 U 0.0000 0.0000 0.0000
2 U 0.3420 0.2353 0.5830
3 I 0.0351 0.8532 0.3147
4 I 0.0469 0.3430 0.3262
5 I 0.1532 0.2780 0.8450
6 I 0.4631 0.1722 0.2762
7 I 0.6035 0.6335 0.8104
8 I 0.6234 0.0920 0.7974
9 Br 0.0863 0.7676 0.7821

12.
Density functional theory data (PBE-GGA) for a relaxed TcMoPt2 crystal.

Computed properties:
For the relative energy among the computed polymorphs, the calculation gives 335.9 meV/atom. As for the density of states at the Fermi level: 0.993 states/eV/atom. The formation energy comes out at 0.080 eV per atom. Its space group is F-43m (216).

abc: 4.4496 4.4496 4.4496
angles: 60.00 60.00 60.00
Atoms (fractional coordinates):
1 Tc 0.0000 0.0000 0.0000
2 Mo 0.7500 0.7500 0.7500
3 Pt 0.2500 0.2500 0.2500
4 Pt 0.5000 0.5000 0.5000